(1)
DFT (PBE) results for an optimized crystal structure of Li2AgN.

Geometry as POSCAR:
```
Li2AgN
1.0
3.975 0.000 0.000
0.000 3.975 0.000
1.988 1.988 6.587
Li Ag N
4 2 2
direct
0.282 0.125 0.250 Li
0.468 0.625 0.250 Li
0.375 0.718 0.750 Li
0.875 0.532 0.750 Li
0.000 0.000 0.000 Ag
0.750 0.250 0.500 Ag
0.500 0.500 0.000 N
0.250 0.750 0.500 N
```

Calculated values
- DFT total energy: -27.0 eV for the cell shown
- DOS(E_F): 1.1 states/eV/cell



(2)
DFT (PBE) results for an optimized crystal structure of Li2AgN2.

Geometry as POSCAR:
```
Li2AgN2
1.0
6.448 0.000 0.000
0.000 6.448 0.000
0.000 0.000 2.954
Li Ag N
4 2 4
direct
0.173 0.673 0.500 Li
0.673 0.827 0.500 Li
0.827 0.327 0.500 Li
0.327 0.173 0.500 Li
0.000 0.000 0.000 Ag
0.500 0.500 0.000 Ag
0.432 0.932 0.000 N
0.932 0.568 0.000 N
0.568 0.068 0.000 N
0.068 0.432 0.000 N
```

Calculated values
- Polymorph energy (0 for the lowest one): 0.0000 eV per atom
- DOS(E_F): 5.4 states/eV/cell



(3)
DFT (PBE) results for an optimized crystal structure of LiAgN2.

Geometry as POSCAR:
```
LiAgN2
1.0
1.865 0.000 5.848
-0.933 1.615 5.848
-0.933 -1.615 5.848
Li Ag N
1 1 2
direct
0.000 0.000 0.000 Li
0.500 0.500 0.500 Ag
0.892 0.892 0.892 N
0.108 0.108 0.108 N
```

Calculated values
- Polymorph energy (0 for the lowest one): 0.0173 eV per atom
- DOS(E_F): 0.0 states/eV/cell



(4)
DFT (PBE) results for an optimized crystal structure of Li2AgN2.

Geometry as POSCAR:
```
Li2AgN2
1.0
-2.142 3.133 -0.395
-2.587 -1.468 2.389
-0.590 2.410 3.888
Li Ag N
2 1 2
direct
0.333 0.333 0.334 Li
0.667 0.667 0.666 Li
0.000 0.000 0.000 Ag
0.750 0.250 0.500 N
0.250 0.750 0.500 N
```

Calculated values
- Polymorph energy (0 for the lowest one): 0.8028 eV per atom
- DOS(E_F): 2.5 states/eV/cell



(5)
DFT (PBE) results for an optimized crystal structure of LiAgN2.

Geometry as POSCAR:
```
LiAgN2
1.0
-3.080 1.720 1.533
-2.364 2.056 -2.232
-3.528 -1.314 -0.789
Li Ag N
1 1 2
direct
0.000 0.000 0.000 Li
0.500 0.500 0.500 Ag
0.250 0.250 0.250 N
0.750 0.750 0.750 N
```

Calculated values
- Polymorph energy (0 for the lowest one): 0.1269 eV per atom
- DOS(E_F): 4.0 states/eV/cell



(6)
DFT (PBE) results for an optimized crystal structure of Li4AgN.

Geometry as POSCAR:
```
Li4AgN
1.0
4.924 0.000 0.005
0.000 5.525 0.155
-2.455 -2.136 6.207
Li Ag N
8 2 2
direct
0.493 0.053 0.781 Li
0.711 0.448 0.220 Li
0.507 0.947 0.219 Li
0.289 0.552 0.780 Li
0.838 0.816 0.586 Li
0.253 0.685 0.416 Li
0.162 0.184 0.414 Li
0.747 0.315 0.584 Li
0.902 0.750 0.000 Ag
0.098 0.250 0.000 Ag
0.500 0.000 0.500 N
0.000 0.500 0.500 N
```

Calculated values
- Polymorph energy (0 for the lowest one): 0.0000 eV per atom
- DOS(E_F): 1.8 states/eV/cell



(7)
DFT (PBE) results for an optimized crystal structure of Li6Ag2N.

Geometry as POSCAR:
```
Li6Ag2N
1.0
-2.074 0.244 -3.221
-1.627 -5.279 0.647
-3.971 4.509 2.898
Li Ag N
6 2 1
direct
0.000 0.093 0.741 Li
0.000 0.352 0.259 Li
0.000 0.907 0.259 Li
0.500 0.197 0.000 Li
0.000 0.648 0.741 Li
0.500 0.803 0.000 Li
0.500 0.271 0.543 Ag
0.500 0.729 0.457 Ag
0.000 0.000 0.000 N
```

Calculated values
- DFT total energy: -27.5 eV for the cell shown
- DOS(E_F): 2.7 states/eV/cell



(8)
DFT (PBE) results for an optimized crystal structure of Li4Ag2N.

Geometry as POSCAR:
```
Li4Ag2N
1.0
3.768 0.000 0.000
0.000 3.768 0.000
1.884 1.884 7.973
Li Ag N
4 2 1
direct
0.121 0.121 0.758 Li
0.879 0.879 0.242 Li
0.000 0.500 0.000 Li
0.500 0.000 0.000 Li
0.285 0.285 0.430 Ag
0.715 0.715 0.570 Ag
0.000 0.000 0.000 N
```

Calculated values
- DFT total energy: -22.9 eV for the cell shown
- DOS(E_F): 1.5 states/eV/cell



(9)
DFT (PBE) results for an optimized crystal structure of Li4AgN.

Geometry as POSCAR:
```
Li4AgN
1.0
3.847 0.000 -0.458
0.000 6.318 0.000
0.836 0.000 7.157
Li Ag N
8 2 2
direct
0.994 0.750 0.361 Li
0.006 0.250 0.639 Li
0.498 0.750 0.090 Li
0.502 0.250 0.910 Li
0.003 0.060 0.140 Li
0.997 0.560 0.860 Li
0.003 0.440 0.140 Li
0.997 0.940 0.860 Li
0.495 0.750 0.619 Ag
0.505 0.250 0.381 Ag
0.998 0.750 0.089 N
0.002 0.250 0.911 N
```

Calculated values
- Polymorph energy (0 for the lowest one): 0.0230 eV per atom
- DOS(E_F): 2.0 states/eV/cell



(10)
DFT (PBE) results for an optimized crystal structure of Li2AgN.

Geometry as POSCAR:
```
Li2AgN
1.0
-3.569 -2.317 -2.090
-0.492 -3.093 4.269
-4.967 4.939 3.005
Li Ag N
8 4 4
direct
0.917 0.122 0.774 Li
0.417 0.878 0.226 Li
0.417 0.378 0.774 Li
0.917 0.622 0.226 Li
0.096 0.743 0.960 Li
0.596 0.257 0.040 Li
0.596 0.757 0.960 Li
0.096 0.243 0.040 Li
0.410 0.906 0.600 Ag
0.910 0.094 0.400 Ag
0.910 0.594 0.600 Ag
0.410 0.406 0.400 Ag
0.828 0.470 0.859 N
0.328 0.530 0.141 N
0.328 0.030 0.859 N
0.828 0.970 0.141 N
```

Calculated values
- DFT total energy: -60.2 eV for the cell shown
- DOS(E_F): 4.8 states/eV/cell



(11)
DFT (PBE) results for an optimized crystal structure of NaLiAgN2.

Geometry as POSCAR:
```
NaLiAgN2
1.0
4.332 0.000 0.000
0.000 4.001 0.000
0.000 0.000 4.332
Na Li Ag N
1 1 1 2
direct
0.000 0.000 0.000 Na
0.000 0.500 0.000 Li
0.500 0.500 0.500 Ag
0.000 0.000 0.500 N
0.500 0.000 0.000 N
```

Calculated values
- DFT total energy: -14.4 eV for the cell shown
- DOS(E_F): 2.1 states/eV/cell



(12)
DFT (PBE) results for an optimized crystal structure of LiAg2PN.

Geometry as POSCAR:
```
LiAg2PN
1.0
4.967 0.000 0.000
0.000 3.492 0.000
0.000 0.000 4.967
P Li Ag N
1 1 2 1
direct
0.000 0.000 0.000 P
0.500 0.500 0.500 Li
0.000 0.000 0.500 Ag
0.500 0.000 0.000 Ag
0.000 0.500 0.000 N
```

Calculated values
- DFT total energy: -18.8 eV for the cell shown
- DOS(E_F): 2.7 states/eV/cell



(13)
DFT (PBE) results for an optimized crystal structure of LiAgPd2N.

Geometry as POSCAR:
```
LiAgPd2N
1.0
-2.320 0.145 -3.412
-0.630 -4.072 0.255
-3.290 0.651 2.265
Li Pd Ag N
1 2 1 1
direct
0.000 0.000 0.500 Li
0.000 0.500 0.000 Pd
0.500 0.000 0.000 Pd
0.500 0.500 0.500 Ag
0.000 0.000 0.000 N
```

Calculated values
- DFT total energy: -23.7 eV for the cell shown
- DOS(E_F): 3.2 states/eV/cell



(14)
DFT (PBE) results for an optimized crystal structure of Li2AgPtN.

Geometry as POSCAR:
```
Li2AgPtN
1.0
4.173 0.000 0.000
0.000 4.173 0.000
0.000 0.000 3.885
Li Ag Pt N
2 1 1 1
direct
0.000 0.500 0.000 Li
0.500 0.000 0.000 Li
0.500 0.500 0.500 Ag
0.000 0.000 0.500 Pt
0.000 0.000 0.000 N
```

Calculated values
- DFT total energy: -22.1 eV for the cell shown
- DOS(E_F): 2.0 states/eV/cell



(15)
DFT (PBE) results for an optimized crystal structure of Li2ReAgN.

Geometry as POSCAR:
```
Li2ReAgN
1.0
-3.020 2.659 -0.711
0.045 -1.007 -3.960
-2.621 -2.795 0.681
Re Li Ag N
1 2 1 1
direct
0.000 0.000 0.500 Re
0.000 0.500 0.000 Li
0.500 0.000 0.000 Li
0.500 0.500 0.500 Ag
0.000 0.000 0.000 N
```

Calculated values
- DFT total energy: -27.8 eV for the cell shown
- DOS(E_F): 2.4 states/eV/cell



(16)
DFT (PBE) results for an optimized crystal structure of LiAgS2N.

Geometry as POSCAR:
```
LiAgS2N
1.0
4.969 0.000 0.000
0.000 4.969 0.000
0.000 0.000 4.100
S Li Ag N
2 1 1 1
direct
0.000 0.500 0.000 S
0.500 0.000 0.000 S
0.500 0.500 0.500 Li
0.000 0.000 0.000 Ag
0.000 0.000 0.500 N
```

Calculated values
- Polymorph energy (0 for the lowest one): 0.0000 eV per atom
- DOS(E_F): 3.3 states/eV/cell



(17)
DFT (PBE) results for an optimized crystal structure of LiAgSN2.

Geometry as POSCAR:
```
LiAgSN2
1.0
4.128 0.000 0.000
0.000 4.128 0.000
0.000 0.000 5.309
S Li Ag N
1 1 1 2
direct
0.000 0.000 0.500 S
0.500 0.500 0.500 Li
0.000 0.000 0.000 Ag
0.000 0.500 0.000 N
0.500 0.000 0.000 N
```

Calculated values
- Polymorph energy (0 for the lowest one): 0.0000 eV per atom
- DOS(E_F): 3.0 states/eV/cell



(18)
DFT (PBE) results for an optimized crystal structure of LiAgSN2.

Geometry as POSCAR:
```
LiAgSN2
1.0
-2.110 -2.296 1.927
2.795 -0.654 2.280
-1.589 4.075 3.116
S Li Ag N
1 1 1 2
direct
0.000 0.000 0.500 S
0.000 0.000 0.000 Li
0.500 0.500 0.500 Ag
0.000 0.500 0.000 N
0.500 0.000 0.000 N
```

Calculated values
- Polymorph energy (0 for the lowest one): 0.1801 eV per atom
- DOS(E_F): 2.5 states/eV/cell



(19)
DFT (PBE) results for an optimized crystal structure of LiAgS2N.

Geometry as POSCAR:
```
LiAgS2N
1.0
-2.931 -2.594 2.406
0.724 -3.498 -2.889
2.902 -1.227 2.213
S Li Ag N
2 1 1 1
direct
0.000 0.500 0.000 S
0.500 0.000 0.000 S
0.000 0.000 0.000 Li
0.500 0.500 0.500 Ag
0.000 0.000 0.500 N
```

Calculated values
- Polymorph energy (0 for the lowest one): 0.1543 eV per atom
- DOS(E_F): 4.0 states/eV/cell



(20)
DFT (PBE) results for an optimized crystal structure of LiScAg2N.

Geometry as POSCAR:
```
LiScAg2N
1.0
4.590 0.000 0.000
0.000 3.870 0.000
0.000 0.000 4.590
Sc Li Ag N
1 1 2 1
direct
0.500 0.500 0.500 Sc
0.000 0.500 0.000 Li
0.000 0.000 0.500 Ag
0.500 0.000 0.000 Ag
0.000 0.000 0.000 N
```

Calculated values
- DFT total energy: -20.6 eV for the cell shown
- DOS(E_F): 4.1 states/eV/cell